Compound: Ba2HgHPb
Source: Alexandria via LeMat-Bulk
Functional: PBE
Structure: optimized geometry

Cell: 5.518 5.518 4.985 Å, 90.00 90.00 90.00°
Fractional coordinates of all 5 atoms:
Pb (0.500, 0.500, 0.500)
H (0.000, 0.000, 0.000)
Hg (0.000, 0.000, 0.500)
Ba (0.000, 0.500, 0.000)
Ba (0.500, 0.000, 0.000)

Output
**Size of the total moment**: 0.0 μB per cell
**Crystal system**: tetragonal
**Symmetry**: No. 123
**Energy above the lowest structure with this stoichiometry**: 0.0 kJ per mole of atoms



Compound: BaHgHPb2
Source: Alexandria via LeMat-Bulk
Functional: PBE
Structure: optimized geometry

Cell: 5.103 5.103 5.202 Å, 90.00 90.00 90.00°
Fractional coordinates of all 5 atoms:
Pb (0.000, 0.500, 0.000)
Pb (0.500, 0.000, 0.000)
H (0.000, 0.000, 0.000)
Hg (0.500, 0.500, 0.500)
Ba (0.000, 0.000, 0.500)

Output
**Size of the total moment**: 0.0 μB per cell
**Crystal system**: tetragonal
**Symmetry**: No. 123
**E_tot**: -2.737 eV per atom



Compound: Ba2HgHPb
Source: Alexandria via LeMat-Bulk
Functional: PBE
Structure: optimized geometry

Cell: 5.845 5.845 4.601 Å, 90.00 90.00 90.00°
Fractional coordinates of all 5 atoms:
Pb (0.000, 0.000, 0.500)
H (0.000, 0.000, 0.000)
Hg (0.500, 0.500, 0.500)
Ba (0.000, 0.500, 0.000)
Ba (0.500, 0.000, 0.000)

Output
**Size of the total moment**: 0.0 μB per cell
**Crystal system**: tetragonal
**Symmetry**: No. 123
**Energy above the lowest structure with this stoichiometry**: 1.7 kJ per mole of atoms



Compound: Ba2HgHPd6
Source: Alexandria via LeMat-Bulk
Functional: PBE
Structure: optimized geometry

Cell: 7.405 5.984 7.406 Å, 66.18 47.34 89.97°
Fractional coordinates of all 10 atoms:
Ba (0.724, 0.275, 0.450)
Ba (0.276, 0.725, 0.550)
Hg (0.000, 0.000, 0.000)
H (0.500, 0.500, 0.000)
Pd (0.220, 0.278, 0.445)
Pd (0.726, 0.788, 0.936)
Pd (0.274, 0.723, 0.063)
Pd (0.726, 0.277, 0.937)
Pd (0.274, 0.212, 0.064)
Pd (0.780, 0.722, 0.555)

Output
**Size of the total moment**: 0.0 μB per cell
**Crystal system**: monoclinic
**Symmetry**: No. 12
**E_tot**: -4.265 eV per atom